15
Lattice="-5.5496 3.0871 3.0046 -2.2719 -4.4116 -8.0468 1.2255 -8.8797 3.0038" Properties=species:S:1:pos:R:3 comment="PBE-GGA La3Pr8Y4, relaxed" e_tot_ha_per_atom=-0.1821 total_magnetization_mub_per_atom=0.00 pbc="T T T"
La -3.9107 -0.6623 -2.5211
La -2.1620 -2.8963 3.0042
La -3.2979 -5.1021 -1.0192
Pr -4.5367 -1.5866 0.7943
Pr -1.2391 -5.7310 -4.7836
Pr -1.2840 -2.7180 -0.6926
Pr -4.1781 -3.9777 -3.8001
Pr -2.4178 -6.2265 1.7617
Pr -5.3119 -7.4863 -1.3458
Pr 0.1928 -7.5603 -0.2593
Pr -2.0592 -8.6176 -2.8327
Y -2.7748 1.5435 1.5023
Y -1.1359 -2.2058 -4.0234
Y 0.0000 0.0000 0.0000
Y 0.6128 -4.4399 1.5019